# RbHfSbI2

Crystalline RbHfSbI2 at its relaxed geometry (PBE, the Alexandria database).

Cell lengths 6.231, 6.231, 6.231 Å; angles 90.00, 90.00, 90.00 degrees
Space group P4/mmm (No. 123)
Symmetry-distinct sites (fractional):
1 Rb 0.000 0.000 0.000
2 Hf 0.500 0.500 0.500
3 Sb 0.000 0.000 0.500
4 I 0.000 0.500 0.000

Values from the calculation:
Calculated density = 4.39 g/cm3
Calculated volume = 48.384 A^3/atom
Size of the total moment = 1.01 μB per formula unit
Crystal system = tetragonal
D(E_F) = 5.66 states/eV/cell
Energy relative to the elements, uncorrected = 107.8 kJ per mole of atoms